An optimized crystal structure of CoPH. Source: Alexandria, functional PBE-GGA.

Values from the calculation:
As for the polymorph energy (0 for the lowest one): 91 meV per atom. The symmetry is I4mm. For the density of states at the Fermi level, the calculation gives 0.433 states/eV/atom.

```
CoPH
1.0
2.9317 0.0000 0.0000
0.0000 2.9317 0.0000
0.0000 0.0000 6.5677
Co P H
2 2 2
Cartesian
0.0000 0.0000 0.0000
1.4658 1.4658 3.2839
0.0000 0.0000 4.2268
1.4658 1.4658 0.9430
0.0000 0.0000 1.4949
1.4658 1.4658 4.7788
```



An optimized crystal structure of AlHg. Source: Alexandria, functional PBE-GGA.

Values from the calculation:
The value obtained for the calculated formation energy is 0.21 eV/atom. The symmetry is P-6m2. For the density of states at the Fermi level, the calculation gives 0.366 states/eV/atom.

```
AlHg
1.0
3.3967 0.0000 0.0000
-1.6983 2.9416 0.0000
0.0000 0.0000 4.2720
Al Hg
1 1
Cartesian
0.0000 0.0000 0.0000
1.6983 0.9805 2.1360
```



An optimized crystal structure of Nb2CoHOs. Source: Alexandria, functional PBE-GGA.

Values from the calculation:
As for the polymorph energy (0 for the lowest one): 0 meV per atom. The symmetry is P4/mmm. For the density of states at the Fermi level, the calculation gives 1.081 states/eV/atom.

```
Nb2CoHOs
1.0
4.1835 0.0000 0.0000
0.0000 4.1835 0.0000
0.0000 0.0000 3.6074
Nb Co H Os
2 1 1 1
Cartesian
0.0000 2.0917 0.0000
2.0917 0.0000 0.0000
0.0000 0.0000 1.8037
0.0000 0.0000 0.0000
2.0917 2.0917 1.8037
```



An optimized crystal structure of Be2SbAs. Source: Alexandria, functional PBE-GGA.

Values from the calculation:
As for the polymorph energy (0 for the lowest one): 450 meV per atom. The symmetry is I-4m2. As for the energy relative to the elements, uncorrected: 0.59 eV per atom. For the density of states at the Fermi level, the calculation gives 0.385 states/eV/atom.

```
Be2SbAs
1.0
3.6076 0.0000 0.0000
0.0000 3.6076 0.0000
0.0000 0.0000 10.2137
Be Sb As
4 2 2
Cartesian
0.0000 0.0000 0.0000
0.0000 1.8038 2.5534
1.8038 0.0000 7.6603
1.8038 1.8038 5.1069
0.0000 1.8038 7.6603
1.8038 0.0000 2.5534
0.0000 0.0000 5.1069
1.8038 1.8038 0.0000
```



> Number 3 is which compound?

Nb2CoHOs



Repeat the first record exactly.
An optimized crystal structure of CoPH. Source: Alexandria, functional PBE-GGA.

Values from the calculation:
As for the polymorph energy (0 for the lowest one): 91 meV per atom. The symmetry is I4mm. For the density of states at the Fermi level, the calculation gives 0.433 states/eV/atom.

```
CoPH
1.0
2.9317 0.0000 0.0000
0.0000 2.9317 0.0000
0.0000 0.0000 6.5677
Co P H
2 2 2
Cartesian
0.0000 0.0000 0.0000
1.4658 1.4658 3.2839
0.0000 0.0000 4.2268
1.4658 1.4658 0.9430
0.0000 0.0000 1.4949
1.4658 1.4658 4.7788
```



> Which formula does entry 2 have?

AlHg